Entry from Alexandria via LeMat-Bulk: H6WF12 after structural relaxation (GGA+U).

```
19
Lattice="4.484 2.589 3.645 -4.484 2.589 3.645 0.000 -5.178 3.645" Properties=species:S:1:pos:R:3 pbc="T T T"
H -3.622 -1.863 5.917
H -0.198 -4.068 5.019
H -3.424 2.205 5.019
H 3.424 -2.205 5.917
H 0.198 4.068 5.917
H 3.622 1.863 5.019
W 0.000 0.000 5.468
F -3.022 -2.625 5.913
F -3.784 1.305 5.023
F -0.778 -1.319 4.377
F 0.762 -3.929 5.023
F -0.753 1.333 4.377
F -1.531 0.014 6.559
F 1.531 -0.014 4.377
F 0.753 -1.333 6.559
F -0.762 3.929 5.913
F 0.778 1.319 6.559
F 3.784 -1.305 5.913
F 3.022 2.625 5.023
```

Summary:
Its magnetization is 0.01 μB per atom. The total DFT energy (no corrections) is -4.5435 eV per atom. Its density of states at the Fermi level is 0.00 states/eV per atom.